Entry from Alexandria: AlFeCu2Te after structural relaxation (PBE-GGA).

Computed properties:
Calculated total energy: -19.971 eV/f.u.
D(E_F): 0.92 states/eV/atom
M_tot: 1.97 μB per formula unit

a = 4.672 Å, b = 4.672 Å, c = 4.706 Å
α = 90.00°, β = 90.00°, γ = 90.00°
Space group P4/mmm (No. 123)
One atom of each set of equivalent atoms:
Al  0.000  0.000  0.000 [1 per cell]
Fe  0.500  0.500  0.500 [1 per cell]
Cu  0.000  0.500  0.500 [2 per cell]
Te  0.500  0.500  0.000 [1 per cell]